Computed, not measured: crystalline TlTeIr2 at its relaxed geometry at the GGA-PBE level of DFT.

Lattice parameters (Å, degrees): 4.580 3.255 5.611 90.00 112.69 90.00
Atoms (fractional coordinates):
Tl 0.000 0.000 0.000
Te 0.500 0.500 0.500
Ir 0.000 0.000 0.500
Ir 0.500 0.500 0.000

Values from the calculation:
- Raw formation energy: 0.565 eV per atom
- Symmetry: P2/m

Computed, not measured: crystalline Cs4Rb2Pd at its relaxed geometry at the GGA-PBE level of DFT.

Lattice parameters (Å, degrees): 13.879 13.879 13.879 151.02 151.02 41.44
Atoms (fractional coordinates):
Cs 0.000 0.500 0.500
Cs 0.131 0.131 0.000
Cs 0.500 0.000 0.500
Cs 0.869 0.869 0.000
Rb 0.315 0.315 0.000
Rb 0.685 0.685 0.000
Pd 0.000 0.000 0.000

Values from the calculation:
- Symmetry: I4/mmm
- ΔH_f (0 K): 37.3 kJ/mol of formula units

Computed, not measured: crystalline CaTi2Ru2 at its relaxed geometry at the GGA-PBE level of DFT.

Lattice parameters (Å, degrees): 7.635 7.635 3.027 90.00 90.00 90.00
Atoms (fractional coordinates):
Ca 0.000 0.000 0.000
Ca 0.500 0.500 0.000
Ti 0.140 0.360 0.500
Ti 0.360 0.860 0.500
Ti 0.640 0.140 0.500
Ti 0.860 0.640 0.500
Ru 0.144 0.644 0.000
Ru 0.356 0.144 0.000
Ru 0.644 0.856 0.000
Ru 0.856 0.356 0.000

Values from the calculation:
- Symmetry: P4/mbm
- ΔH_f (0 K): -118.3 kJ/mol of formula units

Computed, not measured: crystalline Tm8Tc2Ir at its relaxed geometry at the GGA-PBE level of DFT.

Lattice parameters (Å, degrees): 8.955 8.955 6.817 107.72 107.72 30.91
Atoms (fractional coordinates):
Tm 0.029 0.029 0.292
Tm 0.205 0.205 0.812
Tm 0.333 0.333 0.541
Tm 0.403 0.403 0.051
Tm 0.597 0.597 0.949
Tm 0.667 0.667 0.459
Tm 0.795 0.795 0.188
Tm 0.971 0.971 0.708
Tc 0.180 0.180 0.195
Tc 0.820 0.820 0.805
Ir 0.500 0.500 0.500

Values from the calculation:
- Symmetry: C2/m
- ΔH_f (0 K): -306.0 kJ/mol of formula units

Computed, not measured: crystalline LaPr3Ni at its relaxed geometry at the GGA-PBE level of DFT.

Lattice parameters (Å, degrees): 7.811 7.811 6.151 90.00 90.00 120.00
Atoms (fractional coordinates):
La 0.333 0.667 0.250
La 0.667 0.333 0.750
Pr 0.176 0.351 0.750
Pr 0.176 0.824 0.750
Pr 0.351 0.176 0.250
Pr 0.649 0.824 0.750
Pr 0.824 0.176 0.250
Pr 0.824 0.649 0.250
Ni 0.000 0.000 0.000
Ni 0.000 0.000 0.500

Values from the calculation:
- Symmetry: P6_3/mmc
- ΔH_f (0 K): -12.3 kJ/mol of formula units

Computed, not measured: crystalline Ca2LaBe at its relaxed geometry at the GGA-PBE level of DFT.

Lattice parameters (Å, degrees): 7.014 7.014 7.014 149.99 132.72 57.02
Atoms (fractional coordinates):
Ca 0.000 0.000 0.000
Ca 0.690 0.190 0.500
La 0.313 0.813 0.500
Be 0.498 0.498 0.000

Values from the calculation:
- Symmetry: Imm2
- ΔH_f (0 K): 107.5 kJ/mol of formula units

Computed, not measured: crystalline NaS4Cl at its relaxed geometry at the GGA-PBE level of DFT.

Lattice parameters (Å, degrees): 3.671 3.834 23.525 92.05 91.26 90.46
Atoms (fractional coordinates):
Na 0.242 0.298 0.269
Na 0.758 0.702 0.731
S 0.094 0.530 0.558
S 0.255 0.747 0.873
S 0.259 0.360 0.923
S 0.294 0.190 0.410
S 0.706 0.810 0.590
S 0.741 0.640 0.077
S 0.745 0.253 0.127
S 0.906 0.470 0.442
Cl 0.259 0.203 0.735
Cl 0.741 0.797 0.265

Values from the calculation:
- Raw formation energy: -0.341 eV per atom
- Symmetry: P-1

Computed, not measured: crystalline Cu2Pd2Pb at its relaxed geometry at the GGA-PBE level of DFT.

Lattice parameters (Å, degrees): 7.109 7.109 7.109 150.60 150.60 42.07
Atoms (fractional coordinates):
Cu 0.250 0.750 0.500
Cu 0.750 0.250 0.500
Pd 0.108 0.108 0.000
Pd 0.892 0.892 0.000
Pb 0.500 0.500 0.000

Values from the calculation:
- Symmetry: I4/mmm
- ΔH_f (0 K): 11.2 kJ/mol of formula units